Below is crystalline Na2Mn2MoO6 at its relaxed geometry, with properties calculated at the PBE+U level.

Cell lengths 5.6689, 8.9277, 5.9447 Å; angles 90.00, 111.26, 90.00 degrees
Space group C2/m (No. 12)
Unique sites:
1 Na 0.0000 0.1770 0.0000 [4 per cell]
2 Mn 0.0000 0.3352 0.5000 [4 per cell]
3 Mo 0.0000 0.0000 0.5000 [2 per cell]
4 O 0.2091 0.1741 0.7008 [8 per cell]
5 O 0.2301 0.5000 0.6762 [4 per cell]

Results
**Uncorrected energy**: -6.63 eV per atom